## TaIn2CuIr (PBE-GGA)

Data for an optimized crystal structure of TaIn2CuIr.

Cell lengths 5.012, 4.718, 5.012 Å; angles 90.00, 90.00, 90.00 degrees
Fractional positions:
Ir: 0.000 0.000 0.000
In: 0.000 0.000 0.500
In: 0.500 0.000 0.000
Cu: 0.000 0.500 0.000
Ta: 0.500 0.500 0.500

Results
* size of the total moment: 2.56 μB/f.u.
* DFT formation energy: 1.14 eV per atom
* crystal system: tetragonal
* mass density: 9.34 Mg/m³
* raw total energy: -4.92 eV/atom

=====

## TbInCuIr (PBE-GGA)

Data for an optimized crystal structure of TbInCuIr.

Cell lengths 4.744, 4.744, 4.744 Å; angles 60.00, 60.00, 60.00 degrees
Fractional positions:
Ir: 0.250 0.250 0.250
Tb: 0.500 0.500 0.500
Cu: 0.750 0.750 0.750
In: 0.000 0.000 0.000

Results
* size of the total moment: 0.00 μB/f.u.
* DFT formation energy: -0.37 eV per atom
* crystal system: cubic
* mass density: 11.65 Mg/m³
* raw total energy: -5.45 eV/atom

=====

## TmInCuIr (PBE-GGA)

Data for an optimized crystal structure of TmInCuIr.

Cell lengths 4.694, 4.694, 4.694 Å; angles 60.00, 60.00, 60.00 degrees
Fractional positions:
Ir: 0.750 0.750 0.750
Tm: 0.000 0.000 0.000
Cu: 0.250 0.250 0.250
In: 0.500 0.500 0.500

Results
* size of the total moment: 0.00 μB/f.u.
* DFT formation energy: -0.42 eV per atom
* crystal system: cubic
* mass density: 12.25 Mg/m³
* raw total energy: -5.46 eV/atom

=====

## UInCuIr (PBE-GGA)

Data for an optimized crystal structure of UInCuIr.

Cell lengths 4.740, 4.740, 4.740 Å; angles 60.00, 60.00, 60.00 degrees
Fractional positions:
Ir: 0.750 0.750 0.750
U: 0.000 0.000 0.000
Cu: 0.250 0.250 0.250
In: 0.500 0.500 0.500

Results
* size of the total moment: 1.76 μB/f.u.
* DFT formation energy: -0.10 eV per atom
* crystal system: cubic
* mass density: 13.42 Mg/m³
* raw total energy: -6.84 eV/atom

=====

## VInCuIr (PBE-GGA)

Data for an optimized crystal structure of VInCuIr.

Cell lengths 4.419, 4.419, 4.419 Å; angles 60.00, 60.00, 60.00 degrees
Fractional positions:
V: 0.000 0.000 0.000
Ir: 0.750 0.750 0.750
Cu: 0.250 0.250 0.250
In: 0.500 0.500 0.500

Results
* size of the total moment: 0.00 μB/f.u.
* DFT formation energy: -0.05 eV per atom
* crystal system: cubic
* mass density: 11.47 Mg/m³
* raw total energy: -6.26 eV/atom

=====

## YIn2CuIr (PBE-GGA)

Data for an optimized crystal structure of YIn2CuIr.

Cell lengths 5.921, 4.967, 5.921 Å; angles 90.00, 90.00, 90.00 degrees
Fractional positions:
Y: 0.000 0.000 0.000
Ir: 0.000 0.500 0.000
Cu: 0.500 0.500 0.500
In: 0.000 0.000 0.500
In: 0.500 0.000 0.000

Results
* size of the total moment: 0.00 μB/f.u.
* DFT formation energy: 1.23 eV per atom
* crystal system: tetragonal
* mass density: 5.48 Mg/m³
* raw total energy: -3.75 eV/atom

=====

## ZnInCuIr (PBE-GGA)

Data for an optimized crystal structure of ZnInCuIr.

Cell lengths 4.447, 4.447, 4.447 Å; angles 60.00, 60.00, 60.00 degrees
Fractional positions:
Zn: 0.250 0.250 0.250
Ir: 0.500 0.500 0.500
Cu: 0.000 0.000 0.000
In: 0.750 0.750 0.750

Results
* size of the total moment: 0.00 μB/f.u.
* DFT formation energy: -0.05 eV per atom
* crystal system: cubic
* mass density: 11.64 Mg/m³
* raw total energy: -4.29 eV/atom

=====

## ZrIn2CuIr (PBE-GGA)

Data for an optimized crystal structure of ZrIn2CuIr.

Cell lengths 5.661, 4.818, 5.661 Å; angles 90.00, 90.00, 90.00 degrees
Fractional positions:
Ir: 0.000 0.500 0.000
Cu: 0.500 0.500 0.500
Zr: 0.000 0.000 0.000
In: 0.000 0.000 0.500
In: 0.500 0.000 0.000

Results
* size of the total moment: 0.00 μB/f.u.
* DFT formation energy: 1.14 eV per atom
* crystal system: tetragonal
* mass density: 6.20 Mg/m³
* raw total energy: -4.25 eV/atom

=====

## KInCu3 (PBE-GGA)

Data for an optimized crystal structure of KInCu3.

Cell lengths 5.042, 5.042, 5.042 Å; angles 90.00, 90.00, 90.00 degrees
Fractional positions:
K: 0.500 0.500 0.500
Cu: 0.000 0.500 0.000
Cu: 0.000 0.000 0.500
Cu: 0.500 0.000 0.000
In: 0.000 0.000 0.000

Results
* size of the total moment: 0.00 μB/f.u.
* DFT formation energy: 0.46 eV per atom
* crystal system: cubic
* mass density: 4.46 Mg/m³
* E above lowest polymorph: 0.0 kJ/mol of atoms
* raw total energy: -2.77 eV/atom

=====

## K2InCu (PBE-GGA)

Data for an optimized crystal structure of K2InCu.

Cell lengths 3.809, 3.809, 9.581 Å; angles 90.00, 90.00, 90.48 degrees
Fractional positions:
Cu: 0.500 0.500 0.250
In: 0.500 0.500 0.750
K: 0.000 0.000 0.033
K: 0.000 0.000 0.467

Results
* size of the total moment: 0.00 μB/f.u.
* DFT formation energy: 0.28 eV per atom
* crystal system: orthorhombic
* mass density: 3.06 Mg/m³
* raw total energy: -1.98 eV/atom

=====

## K2InCu (PBE-GGA)

Data for an optimized crystal structure of K2InCu.

Cell lengths 3.752, 3.752, 10.144 Å; angles 90.00, 90.00, 89.94 degrees
Fractional positions:
Cu: 0.000 0.000 0.579
In: 0.500 0.500 0.669
K: 0.000 0.000 0.924
K: 0.500 0.500 0.328

Results
* size of the total moment: 0.00 μB/f.u.
* DFT formation energy: 0.13 eV per atom
* crystal system: tetragonal
* mass density: 2.98 Mg/m³
* raw total energy: -2.12 eV/atom

=====

## K2InCu (PBE-GGA)

Data for an optimized crystal structure of K2InCu.

Cell lengths 5.580, 5.580, 5.580 Å; angles 118.69, 118.69, 92.29 degrees
Fractional positions:
Cu: 0.500 0.500 0.000
In: 0.750 0.250 0.500
K: 0.000 0.000 0.000
K: 0.250 0.750 0.500

Results
* size of the total moment: 0.00 μB/f.u.
* DFT formation energy: 0.31 eV per atom
* crystal system: tetragonal
* mass density: 3.40 Mg/m³
* raw total energy: -1.95 eV/atom

=====

Which of these has the lowest mass density?
number 11

=====

Look up the mass density of the seventh one.
11.64 Mg/m³